No. 1
Computed, not measured: crystalline HoHfGaOs at its relaxed geometry at the GGA-PBE level of DFT.

Cell lengths 6.758, 6.758, 6.758 Å; angles 90.00, 90.00, 90.00 degrees
Space group F-43m (No. 216)
Inequivalent atoms, fractional coordinates:
Ho (0.000, 0.000, 0.000) [4 per cell]
Hf (0.000, 0.000, 0.500) [4 per cell]
Ga (0.250, 0.250, 0.750) [4 per cell]
Os (0.250, 0.250, 0.250) [4 per cell]

Crystal system ... cubic
Energy ... -7.555 eV per atom

---

No. 2
Computed, not measured: crystalline HoHfGaPd at its relaxed geometry at the GGA-PBE level of DFT.

Cell lengths 6.864, 6.864, 6.864 Å; angles 90.00, 90.00, 90.00 degrees
Space group F-43m (No. 216)
Inequivalent atoms, fractional coordinates:
Ho (0.000, 0.000, 0.000) [4 per cell]
Hf (0.000, 0.000, 0.500) [4 per cell]
Ga (0.250, 0.250, 0.750) [4 per cell]
Pd (0.250, 0.250, 0.250) [4 per cell]

Crystal system ... cubic
Energy ... -6.210 eV per atom

---

No. 3
Computed, not measured: crystalline HoHfGaPt at its relaxed geometry at the GGA-PBE level of DFT.

Cell lengths 6.855, 6.855, 6.855 Å; angles 90.00, 90.00, 90.00 degrees
Space group F-43m (No. 216)
Inequivalent atoms, fractional coordinates:
Ho (0.000, 0.000, 0.000) [4 per cell]
Hf (0.000, 0.000, 0.500) [4 per cell]
Ga (0.250, 0.250, 0.250) [4 per cell]
Pt (0.250, 0.250, 0.750) [4 per cell]

Crystal system ... cubic
Energy ... -6.582 eV per atom

---

No. 4
Computed, not measured: crystalline HoHfGaRh at its relaxed geometry at the GGA-PBE level of DFT.

Cell lengths 6.792, 6.792, 6.792 Å; angles 90.00, 90.00, 90.00 degrees
Space group F-43m (No. 216)
Inequivalent atoms, fractional coordinates:
Ho (0.000, 0.000, 0.000) [4 per cell]
Hf (0.000, 0.000, 0.500) [4 per cell]
Ga (0.250, 0.250, 0.250) [4 per cell]
Rh (0.250, 0.250, 0.750) [4 per cell]

Crystal system ... cubic
Energy ... -6.789 eV per atom

---

No. 5
Computed, not measured: crystalline Ho2HfGa2Rh5 at its relaxed geometry at the GGA-PBE level of DFT.

Cell lengths 9.926, 9.926, 3.529 Å; angles 90.00, 90.00, 90.00 degrees
Space group P4/mbm (No. 127)
Inequivalent atoms, fractional coordinates:
Ho (0.172, 0.328, 0.000) [4 per cell]
Hf (0.000, 0.000, 0.000) [2 per cell]
Ga (0.125, 0.625, 0.000) [4 per cell]
Rh (0.000, 0.500, 0.500) [2 per cell]
Rh (0.068, 0.795, 0.500) [8 per cell]

Crystal system ... tetragonal
Energy ... -7.079 eV per atom

---

No. 6
Computed, not measured: crystalline HoHfGaRu at its relaxed geometry at the GGA-PBE level of DFT.

Cell lengths 6.763, 6.763, 6.763 Å; angles 90.00, 90.00, 90.00 degrees
Space group F-43m (No. 216)
Inequivalent atoms, fractional coordinates:
Ho (0.000, 0.000, 0.000) [4 per cell]
Hf (0.000, 0.000, 0.500) [4 per cell]
Ga (0.250, 0.250, 0.250) [4 per cell]
Ru (0.250, 0.250, 0.750) [4 per cell]

Crystal system ... cubic
Energy ... -7.129 eV per atom

---

No. 7
Computed, not measured: crystalline HfGaI6 at its relaxed geometry at the GGA-PBE level of DFT.

Cell lengths 7.4079, 7.4079, 19.8140 Å; angles 90.00, 90.00, 120.00 degrees
Space group R-3 (No. 148, hexagonal axes)
Inequivalent atoms, fractional coordinates:
Hf (0.0000, 0.0000, 0.0000) [3 per cell]
Ga (0.0000, 0.0000, 0.5000) [3 per cell]
I (0.0019, 0.6840, 0.0818) [18 per cell]

Crystal system ... trigonal
Formation energy from raw total energies ... -607 meV per atom
Energy ... -3.393 eV per atom

---

No. 8
Computed, not measured: crystalline HfGa2I at its relaxed geometry at the GGA-PBE level of DFT.

Cell lengths 7.210, 7.210, 7.210 Å; angles 90.00, 90.00, 90.00 degrees
Space group Fm-3m (No. 225)
Inequivalent atoms, fractional coordinates:
Hf (0.000, 0.000, 0.000) [4 per cell]
Ga (0.250, 0.250, 0.250) [8 per cell]
I (0.000, 0.000, 0.500) [4 per cell]

Crystal system ... cubic
Formation energy from raw total energies ... 513 meV per atom
Energy above the most stable polymorph in this dataset ... 0 meV/atom
Energy ... -3.877 eV per atom

---

No. 9
Computed, not measured: crystalline HfGa3I7 at its relaxed geometry at the GGA-PBE level of DFT.

Cell lengths 15.685, 9.189, 7.878 Å; angles 90.00, 110.05, 90.00 degrees
Space group Cm (No. 8)
Inequivalent atoms, fractional coordinates:
Hf (0.000, 0.000, 0.000) [2 per cell]
Ga (0.008, 0.247, 0.512) [4 per cell]
Ga (0.009, 0.500, 0.984) [2 per cell]
I (0.113, 0.000, 0.769) [2 per cell]
I (0.116, 0.218, 0.218) [4 per cell]
I (0.123, 0.500, 0.756) [2 per cell]
I (0.389, 0.280, 0.772) [4 per cell]
I (0.389, 0.500, 0.214) [2 per cell]

Crystal system ... monoclinic
Formation energy from raw total energies ... -591 meV per atom
Energy ... -3.308 eV per atom

---

No. 10
Computed, not measured: crystalline Hf2GaI at its relaxed geometry at the GGA-PBE level of DFT.

Cell lengths 5.580, 5.580, 15.235 Å; angles 90.00, 90.00, 90.00 degrees
Space group I-42d (No. 122)
Inequivalent atoms, fractional coordinates:
Hf (0.181, 0.250, 0.125) [8 per cell]
Ga (0.000, 0.000, 0.000) [4 per cell]
I (0.000, 0.000, 0.500) [4 per cell]

Crystal system ... tetragonal
Formation energy from raw total energies ... 647 meV per atom
Energy above the most stable polymorph in this dataset ... 522 meV/atom
Energy ... -5.474 eV per atom

---

No. 11
Computed, not measured: crystalline HfGaI3 at its relaxed geometry at the GGA-PBE level of DFT.

Cell lengths 5.703, 5.703, 5.703 Å; angles 90.00, 90.00, 90.00 degrees
Space group Pm-3m (No. 221)
Inequivalent atoms, fractional coordinates:
Hf (0.000, 0.000, 0.000) [1 per cell]
Ga (0.500, 0.500, 0.500) [1 per cell]
I (0.000, 0.000, 0.500) [3 per cell]

Crystal system ... cubic
Formation energy from raw total energies ... -119 meV per atom
Energy above the most stable polymorph in this dataset ... 0 meV/atom
Energy ... -3.645 eV per atom

---

No. 12
Computed, not measured: crystalline HfGa2I8 at its relaxed geometry at the GGA-PBE level of DFT.

Cell lengths 13.559, 11.096, 7.427 Å; angles 90.00, 101.12, 90.00 degrees
Space group C2/m (No. 12)
Inequivalent atoms, fractional coordinates:
Hf (0.000, 0.000, 0.000) [2 per cell]
Ga (0.189, 0.000, 0.642) [4 per cell]
I (0.080, 0.176, 0.792) [8 per cell]
I (0.121, 0.500, 0.210) [4 per cell]
I (0.190, 0.000, 0.257) [4 per cell]

Crystal system ... monoclinic
Formation energy from raw total energies ... -565 meV per atom
Energy ... -3.148 eV per atom